AcLa2Pr8 PBE optimized geometry; energy of formation from the pure elements = 0.11 eV/atom; ΔE to the lowest computed polymorph = 0.0 kJ per mole of atoms
1.0
5.497 0.000 -1.669
-1.061 7.856 -3.494
-0.027 -0.423 9.798
Pr La Ac
8 2 1
Direct
0.643 0.439 0.285 Pr
0.157 0.157 0.313 Pr
0.000 0.704 0.000 Pr
0.843 0.843 0.687 Pr
0.357 0.561 0.715 Pr
0.357 0.154 0.715 Pr
0.000 0.296 0.000 Pr
0.643 0.846 0.285 Pr
0.799 0.299 0.599 La
0.201 0.701 0.401 La
0.500 0.000 0.000 Ac


NdPaC PBE optimized geometry; energy of formation from the pure elements = -0.10 eV/atom; ΔE to the lowest computed polymorph = 0.0 kJ per mole of atoms
1.0
6.225 0.000 0.000
0.000 3.568 0.000
0.000 -1.784 3.090
C Nd Pa
1 1 1
Direct
0.026 0.000 0.000 C
0.756 0.667 0.333 Nd
0.218 0.333 0.667 Pa


ZrAsS4 PBE optimized geometry; total energy = -5.57 eV per atom
1.0
4.718 0.001 0.002
-0.696 7.528 0.013
-0.696 -2.741 7.012
S As Zr
8 2 2
Direct
0.028 0.078 0.337 S
0.028 0.337 0.078 S
0.336 0.568 0.568 S
0.500 0.762 0.238 S
0.500 0.238 0.762 S
0.972 0.922 0.663 S
0.664 0.432 0.432 S
0.972 0.663 0.922 S
0.354 0.172 0.172 As
0.646 0.828 0.828 As
0.000 0.696 0.304 Zr
0.000 0.304 0.696 Zr


MgTiCd2 PBE optimized geometry; energy of formation from the pure elements = 0.36 eV/atom
1.0
7.649 0.000 0.000
0.000 7.649 0.000
3.824 3.824 3.025
Ti Cd Mg
2 4 2
Direct
0.750 0.250 0.500 Ti
0.000 0.000 0.000 Ti
0.125 0.625 0.250 Cd
0.875 0.875 0.750 Cd
0.625 0.125 0.250 Cd
0.375 0.375 0.750 Cd
0.500 0.500 0.000 Mg
0.250 0.750 0.500 Mg


Sc3GeB2Rh9 PBE optimized geometry; energy of formation from the pure elements = -0.59 eV/atom
1.0
-0.395 -0.498 5.905
5.175 -1.031 -2.727
1.845 7.304 0.740
Rh Sc B Ge
9 3 2 1
Direct
0.500 0.000 0.000 Rh
0.826 0.174 0.692 Rh
0.500 0.500 0.000 Rh
0.652 0.826 0.308 Rh
0.826 0.652 0.692 Rh
0.174 0.826 0.308 Rh
0.000 0.500 0.000 Rh
0.174 0.348 0.308 Rh
0.348 0.174 0.692 Rh
0.000 0.000 0.000 Sc
0.667 0.333 0.331 Sc
0.333 0.667 0.669 Sc
0.667 0.333 0.852 B
0.333 0.667 0.148 B
0.000 0.000 0.500 Ge


Tb2Si2Se7 PBE optimized geometry; total energy = -4.94 eV per atom
1.0
-0.634 5.507 2.722
-6.682 -0.367 -2.986
-0.939 -4.135 5.977
Se Tb Si
7 2 2
Direct
0.268 0.598 0.598 Se
0.775 0.576 0.920 Se
0.225 0.080 0.424 Se
0.775 0.920 0.576 Se
0.732 0.402 0.402 Se
0.225 0.424 0.080 Se
0.500 0.000 0.000 Se
0.000 0.299 0.701 Tb
0.000 0.701 0.299 Tb
0.588 0.772 0.772 Si
0.412 0.228 0.228 Si


LaCoCu PBE optimized geometry; energy of formation from the pure elements = -0.05 eV/atom
1.0
4.155 0.000 0.000
-2.078 3.598 0.000
0.000 0.000 4.021
Cu Co La
1 1 1
Direct
0.667 0.333 0.167 Cu
0.000 0.000 0.167 Co
0.333 0.667 0.667 La


Ce2TlBi PBE optimized geometry; energy of formation from the pure elements = -0.37 eV/atom; ΔE to the lowest computed polymorph = 7.0 kJ per mole of atoms
1.0
-0.516 -4.184 3.593
3.633 -0.555 4.144
-1.573 1.006 5.215
Ce Bi Tl
2 1 1
Direct
0.750 0.750 0.750 Ce
0.250 0.250 0.250 Ce
0.500 0.500 0.500 Bi
0.000 0.000 0.000 Tl